(1)
The following is a PBEsol calculation of ZrTi2Ge2 after structural relaxation, from the Alexandria database.

abc: 6.9995 6.9995 3.4021
angles: 90.00 90.00 90.00
Last column: nearest neighbours and their distance in Å.
Sites, in units of the cell vectors:
Zr: 0.0000 0.0000 0.0000  4 Ge 2.75
Zr: 0.5000 0.5000 0.0000  4 Ge 2.75
Ti: 0.1695 0.3305 0.5000  6 Ge 2.62-2.71
Ti: 0.3305 0.8305 0.5000  6 Ge 2.62-2.71
Ti: 0.6695 0.1695 0.5000  6 Ge 2.62-2.71
Ti: 0.8305 0.6695 0.5000  6 Ge 2.62-2.71
Ge: 0.1293 0.6293 0.0000  1 Ge 2.56, 6 Ti 2.62-2.71, 2 Zr 2.75
Ge: 0.3707 0.1293 0.0000  1 Ge 2.56, 6 Ti 2.62-2.71, 2 Zr 2.75
Ge: 0.6293 0.8707 0.0000  1 Ge 2.56, 6 Ti 2.62-2.71, 2 Zr 2.75
Ge: 0.8707 0.3707 0.0000  1 Ge 2.56, 6 Ti 2.62-2.71, 2 Zr 2.75

Calculated values
* ΔH_f (0 K): -728.6 meV per atom
* M_tot: 0.00 μB per atom
* space group: P4/mbm (127)

(2)
The following is a PBEsol calculation of TlGeW2 after structural relaxation, from the Alexandria database.

abc: 4.5456 4.5456 4.5456
angles: 60.00 60.00 60.00
Last column: nearest neighbours and their distance in Å.
Sites, in units of the cell vectors:
Tl: 0.0000 0.0000 0.0000  8 W 2.78
Ge: 0.5000 0.5000 0.5000  8 W 2.78
W: 0.2500 0.2500 0.2500  4 Ge 2.78, 4 Tl 2.78
W: 0.7500 0.7500 0.7500  4 Ge 2.78, 4 Tl 2.78

Calculated values
* ΔH_f (0 K): 909.3 meV per atom
* M_tot: 0.00 μB per atom
* space group: Fm-3m (225)

(3)
The following is a PBEsol calculation of Tl2Zn2Ge after structural relaxation, from the Alexandria database.

abc: 6.8691 6.8691 6.8691
angles: 143.85 143.85 52.05
Last column: nearest neighbours and their distance in Å.
Sites, in units of the cell vectors:
Tl: 0.2500 0.7500 0.5000  4 Zn 2.87, 4 Tl 3.01
Tl: 0.7500 0.2500 0.5000  4 Zn 2.87, 4 Tl 3.01
Zn: 0.0943 0.0943 0.0000  1 Zn 2.33
Zn: 0.9057 0.9057 0.0000  1 Zn 2.33
Ge: 0.5000 0.5000 0.0000  8 Zn 3.23

Calculated values
* ΔH_f (0 K): 406.6 meV per atom
* M_tot: 0.00 μB per atom
* space group: I4/mmm (139)

(4)
The following is a PBEsol calculation of Tl2ZnGe after structural relaxation, from the Alexandria database.

abc: 5.0507 5.0507 5.0507
angles: 60.00 60.00 60.00
Last column: nearest neighbours and their distance in Å.
Sites, in units of the cell vectors:
Tl: 0.2500 0.2500 0.2500  4 Ge 3.09, 4 Zn 3.09
Tl: 0.7500 0.7500 0.7500  4 Ge 3.09, 4 Zn 3.09
Zn: 0.0000 0.0000 0.0000  8 Tl 3.09
Ge: 0.5000 0.5000 0.5000  8 Tl 3.09

Calculated values
* ΔH_f (0 K): 246.4 meV per atom
* M_tot: 0.00 μB per atom
* space group: Fm-3m (225)